Material: CsK2CdAg
Method: DFT, GGA-PBE
State: relaxed

Cell lengths 6.6263, 6.6263, 5.6283 Å; angles 90.00, 90.00, 90.00 degrees
Last column: nearest neighbours and their distance in Å.
Element x y z (fractional)
1 Cs 0.5000 0.5000 0.5000  8 K 4.35, 4 Cd 4.69
2 K 0.0000 0.5000 0.0000  2 Ag 3.31
3 K 0.5000 0.0000 0.0000  2 Ag 3.31
4 Ag 0.0000 0.0000 0.0000  2 Cd 2.81
5 Cd 0.0000 0.0000 0.5000  2 Ag 2.81

Properties
**Relative energy among the computed polymorphs**: 0.000 eV/atom
**Energy**: -6.611 eV for the cell shown
**Symmetry**: P4/mmm
**Spin magnetization**: 0.00 μB/cell
**Crystal system**: tetragonal

=====

Material: SrLiCuS2
Method: DFT, GGA-PBE
State: relaxed

Cell lengths 5.3151, 5.6278, 7.1671 Å; angles 113.12, 90.00, 90.00 degrees
Last column: nearest neighbours and their distance in Å.
Element x y z (fractional)
1 Sr 0.2427 0.7500 0.5000  8 S 3.10-3.26
2 Sr 0.7573 0.2500 0.5000  8 S 3.10-3.26
3 Li 0.5000 0.7500 0.0000  4 S 2.51
4 Li 0.5000 0.2500 0.0000  4 S 2.51
5 Cu 0.0000 0.0000 0.0000  2 S 2.16
6 Cu 0.0000 0.5000 0.0000  2 S 2.16
7 S 0.7369 0.8751 0.7501  1 Cu 2.16
8 S 0.7369 0.6249 0.2499  1 Cu 2.16
9 S 0.2631 0.3751 0.7501  1 Cu 2.16
10 S 0.2631 0.1249 0.2499  1 Cu 2.16

Properties
**Uncorrected formation energy**: -1221.5 meV/atom
**Energy**: -44.109 eV for the cell shown
**Symmetry**: Cmme
**Spin magnetization**: 0.00 μB/cell
**Crystal system**: orthorhombic

=====

Material: AcNdCu2S4
Method: DFT, GGA-PBE
State: relaxed

Cell lengths 6.6532, 6.2151, 6.2151 Å; angles 68.34, 57.64, 57.64 degrees
Last column: nearest neighbours and their distance in Å.
Element x y z (fractional)
1 Ac 0.0000 0.0000 0.0000  8 S 3.07-3.20
2 Nd 0.5000 0.5000 0.5000  4 S 2.78
3 Cu 0.1683 0.3317 0.3317  2 S 2.20
4 Cu 0.8317 0.6683 0.6683  2 S 2.20
5 S 0.4525 0.0822 0.4998  1 Cu 2.20
6 S 0.0345 0.9178 0.5002  1 Cu 2.20
7 S 0.9655 0.4998 0.0822  1 Cu 2.20
8 S 0.5475 0.5002 0.9178  1 Cu 2.20

Properties
**Uncorrected formation energy**: -1292.1 meV/atom
**Energy**: -43.915 eV for the cell shown
**Symmetry**: I222
**Spin magnetization**: 0.00 μB/cell
**Crystal system**: orthorhombic

=====

Material: Ho5ErTe6
Method: DFT, GGA-PBE
State: relaxed

Cell lengths 7.4949, 7.4914, 7.5155 Å; angles 60.11, 80.37, 70.39 degrees
Last column: nearest neighbours and their distance in Å.
Element x y z (fractional)
1 Ho 0.5000 0.1680 0.6640  6 Te 3.06-3.07
2 Ho 0.0000 0.3329 0.3343  6 Te 3.06-3.07
3 Ho 0.5000 0.5000 0.0000  6 Te 3.06-3.07
4 Ho 0.0000 0.6671 0.6657  6 Te 3.06-3.07
5 Ho 0.5000 0.8320 0.3360  6 Te 3.06-3.07
6 Er 0.0000 0.0000 0.0000  6 Te 3.05
7 Te 0.7508 0.0833 0.3318  1 Er 3.05, 5 Ho 3.06
8 Te 0.2492 0.5850 0.3318  1 Er 3.05, 5 Ho 3.06
9 Te 0.2500 0.2488 0.0000  1 Er 3.05, 5 Ho 3.07
10 Te 0.7500 0.7512 0.0000  1 Er 3.05, 5 Ho 3.07
11 Te 0.7508 0.4150 0.6682  1 Er 3.05, 5 Ho 3.06
12 Te 0.2492 0.9167 0.6682  1 Er 3.05, 5 Ho 3.06

Properties
**Uncorrected formation energy**: -1239.3 meV/atom
**Energy**: -61.173 eV for the cell shown
**Symmetry**: C2/m
**Spin magnetization**: 0.00 μB/cell
**Crystal system**: monoclinic

=====

Material: HRhPb2
Method: DFT, GGA-PBE
State: relaxed

Cell lengths 4.7303, 4.7303, 4.7303 Å; angles 60.00, 60.00, 60.00 degrees
Last column: nearest neighbours and their distance in Å.
Element x y z (fractional)
1 Pb 0.2500 0.2500 0.2500  4 Rh 2.90, 4 H 2.90
2 Pb 0.7500 0.7500 0.7500  4 Rh 2.90, 4 H 2.90
3 H 0.0000 0.0000 0.0000  8 Pb 2.90
4 Rh 0.5000 0.5000 0.5000  8 Pb 2.90

Properties
**Relative energy among the computed polymorphs**: 0.377 eV/atom
**Energy**: -16.728 eV for the cell shown
**Symmetry**: Fm-3m
**Spin magnetization**: 0.00 μB/cell
**Crystal system**: cubic

=====

Material: BaUCoSe4
Method: DFT, GGA-PBE
State: relaxed

Cell lengths 6.7582, 6.2010, 8.9287 Å; angles 90.00, 107.59, 90.00 degrees
Last column: nearest neighbours and their distance in Å.
Element x y z (fractional)
1 Ba 0.7484 0.7500 0.9402  8 Se 3.21-3.43
2 Ba 0.2516 0.2500 0.0598  8 Se 3.21-3.43
3 U 0.7458 0.7500 0.4452  6 Se 2.84-2.97
4 U 0.2542 0.2500 0.5548  6 Se 2.84-2.97
5 Co 0.2395 0.7500 0.3306  4 Se 2.29-2.35
6 Co 0.7605 0.2500 0.6694  4 Se 2.29-2.35
7 Se 0.0185 0.5082 0.7164  1 Co 2.31
8 Se 0.9815 0.0082 0.2836  1 Co 2.31
9 Se 0.9815 0.4918 0.2836  1 Co 2.31
10 Se 0.0185 0.9918 0.7164  1 Co 2.31
11 Se 0.4288 0.7500 0.1493  1 Co 2.35
12 Se 0.5712 0.2500 0.8507  1 Co 2.35
13 Se 0.4272 0.7500 0.5918  1 Co 2.29
14 Se 0.5728 0.2500 0.4082  1 Co 2.29

Properties
**Uncorrected formation energy**: -1075.4 meV/atom
**Energy**: -83.565 eV for the cell shown
**Symmetry**: P2_1/m
**Spin magnetization**: 6.39 μB/cell
**Crystal system**: monoclinic

=====

Material: Ac2Pm3Au4
Method: DFT, GGA-PBE
State: relaxed

Cell lengths 7.4037, 7.8522, 9.8688 Å; angles 90.00, 112.03, 90.00 degrees
Last column: nearest neighbours and their distance in Å.
Element x y z (fractional)
1 Ac 0.0992 0.5758 0.1984  3 Au 3.22-3.36
2 Ac 0.9008 0.4242 0.8016  3 Au 3.22-3.36
3 Ac 0.4008 0.0758 0.8016  3 Au 3.22-3.36
4 Ac 0.5992 0.9242 0.1984  3 Au 3.22-3.36
5 Pm 0.0000 0.0000 0.0000  6 Au 2.94-3.14
6 Pm 0.5000 0.5000 0.0000  6 Au 2.94-3.14
7 Pm 0.5158 0.7500 0.5316  5 Au 3.07-3.12
8 Pm 0.9842 0.2500 0.4684  5 Au 3.07-3.12
9 Pm 0.4842 0.2500 0.4684  5 Au 3.07-3.12
10 Pm 0.0158 0.7500 0.5316  5 Au 3.07-3.12
11 Au 0.6862 0.7500 0.8724  3 Pm 2.94-3.12, 2 Ac 3.22
12 Au 0.8138 0.2500 0.1276  3 Pm 2.94-3.12, 2 Ac 3.22
13 Au 0.3138 0.2500 0.1276  3 Pm 2.94-3.12, 2 Ac 3.22
14 Au 0.1862 0.7500 0.8724  3 Pm 2.94-3.12, 2 Ac 3.22
15 Au 0.1710 0.9693 0.3420  5 Pm 3.07-3.14, 1 Ac 3.36
16 Au 0.8290 0.0307 0.6580  5 Pm 3.07-3.14, 1 Ac 3.36
17 Au 0.3290 0.4693 0.6580  5 Pm 3.07-3.14, 1 Ac 3.36
18 Au 0.6710 0.5307 0.3420  5 Pm 3.07-3.14, 1 Ac 3.36

Properties
**Relative energy among the computed polymorphs**: 0.077 eV/atom
**Energy**: -82.658 eV for the cell shown
**Symmetry**: Cmce
**Spin magnetization**: 0.00 μB/cell
**Crystal system**: orthorhombic

=====

Material: ErTm5In
Method: DFT, GGA-PBE
State: relaxed

Cell lengths 6.0744, 7.9245, 7.5719 Å; angles 121.55, 113.65, 90.00 degrees
Last column: nearest neighbours and their distance in Å.
Element x y z (fractional)
1 Er 0.8342 0.0000 0.0000  6 Tm 3.36-3.68
2 Tm 0.4664 0.2515 0.5030  1 In 2.98, 2 Tm 3.29
3 Tm 0.0391 0.5000 0.0000  2 In 2.89-3.18, 2 Tm 3.07
4 Tm 0.9635 0.7485 0.4970  1 In 2.98, 2 Tm 3.29
5 Tm 0.3325 0.8157 0.0000  1 In 2.87, 2 Tm 2.92-3.07
6 Tm 0.3325 0.1843 0.0000  1 In 2.87, 2 Tm 2.92-3.07
7 In 0.5626 0.5000 0.0000  6 Tm 2.87-3.18

Properties
**Energy**: -24.413 eV for the cell shown
**Symmetry**: Imm2
**Spin magnetization**: 0.00 μB/cell
**Crystal system**: orthorhombic

=====

Material: TlCo2As
Method: DFT, GGA-PBE
State: relaxed

Cell lengths 2.9855, 2.9853, 6.7205 Å; angles 90.00, 90.00, 90.00 degrees
Last column: nearest neighbours and their distance in Å.
Element x y z (fractional)
1 As 0.5000 0.5000 0.7500  8 Co 2.48
2 Co 0.0000 0.0000 0.9446  4 As 2.48, 1 Co 2.62
3 Co 0.0000 0.0000 0.5554  4 As 2.48, 1 Co 2.62
4 Tl 0.5000 0.5000 0.2500  8 Co 2.94, 4 Tl 2.99

Properties
**Relative energy among the computed polymorphs**: 0.116 eV/atom
**Energy**: -20.126 eV for the cell shown
**Symmetry**: P4/mmm
**Spin magnetization**: 1.20 μB/cell
**Crystal system**: tetragonal

=====

Material: TbNdGa2
Method: DFT, GGA-PBE
State: relaxed

Cell lengths 5.1516, 5.1516, 5.1516 Å; angles 60.00, 60.00, 60.00 degrees
Last column: nearest neighbours and their distance in Å.
Element x y z (fractional)
1 Nd 0.0000 0.0000 0.0000  8 Ga 3.15
2 Tb 0.5000 0.5000 0.5000  8 Ga 3.15
3 Ga 0.2500 0.2500 0.2500  4 Nd 3.15, 4 Tb 3.15
4 Ga 0.7500 0.7500 0.7500  4 Nd 3.15, 4 Tb 3.15

Properties
**Relative energy among the computed polymorphs**: 0.038 eV/atom
**Energy**: -17.715 eV for the cell shown
**Symmetry**: Fm-3m
**Spin magnetization**: 0.00 μB/cell
**Crystal system**: cubic

=====

Material: ZrNiBiS2
Method: DFT, GGA-PBE
State: relaxed

Cell lengths 5.2469, 4.6987, 5.2469 Å; angles 90.00, 90.00, 90.00 degrees
Last column: nearest neighbours and their distance in Å.
Element x y z (fractional)
1 Ni 0.0000 0.5000 0.0000  2 Bi 2.35
2 S 0.0000 0.0000 0.5000  2 Bi 2.62
3 S 0.5000 0.0000 0.0000  2 Bi 2.62
4 Bi 0.0000 0.0000 0.0000  2 Ni 2.35, 4 S 2.62
5 Zr 0.5000 0.5000 0.5000  8 S 3.52, 4 Ni 3.71

Properties
**Uncorrected formation energy**: 773.2 meV/atom
**Energy**: -22.599 eV for the cell shown
**Symmetry**: P4/mmm
**Spin magnetization**: 1.09 μB/cell
**Crystal system**: tetragonal

=====

Material: TlMoAu2S
Method: DFT, GGA-PBE
State: relaxed

Cell lengths 5.0005, 5.5607, 5.0005 Å; angles 90.00, 90.00, 90.00 degrees
Last column: nearest neighbours and their distance in Å.
Element x y z (fractional)
1 S 0.5000 0.5000 0.5000  4 Tl 3.54, 8 Au 3.74
2 Tl 0.0000 0.5000 0.0000  2 Mo 2.78
3 Au 0.0000 0.0000 0.5000  2 Mo 2.50
4 Au 0.5000 0.0000 0.0000  2 Mo 2.50
5 Mo 0.0000 0.0000 0.0000  4 Au 2.50, 2 Tl 2.78

Properties
**Uncorrected formation energy**: 1223.3 meV/atom
**Energy**: -17.763 eV for the cell shown
**Symmetry**: P4/mmm
**Spin magnetization**: 1.14 μB/cell
**Crystal system**: tetragonal

=====

Material: TcW2Br
Method: DFT, GGA-PBE
State: relaxed

Cell lengths 4.1740, 2.9263, 5.6984 Å; angles 71.70, 90.00, 90.00 degrees
Last column: nearest neighbours and their distance in Å.
Element x y z (fractional)
1 Br 0.5000 0.2500 0.2500  4 W 2.76, 2 Tc 2.76, 2 Br 2.93
2 Tc 0.5000 0.7500 0.7500  8 W 2.75-2.93, 2 Br 2.76, 2 Tc 2.93
3 W 0.0000 0.0500 0.9798  1 W 2.51, 2 Tc 2.75, 2 Br 2.76
4 W 0.0000 0.4500 0.5202  1 W 2.51, 2 Tc 2.75, 2 Br 2.76

Properties
**Relative energy among the computed polymorphs**: 0.361 eV/atom
**Uncorrected formation energy**: 880.0 meV/atom
**Energy**: -34.425 eV for the cell shown
**Symmetry**: P2/m
**Spin magnetization**: 0.00 μB/cell
**Crystal system**: monoclinic